# AcFeSiO4 (PBE+U, optimized geometry)
data_AcFeSiO4
_chemical_formula_sum 'Ac4 Fe4 Si4 O16'
_space_group_name_H-M_alt 'I m m a'
_space_group_IT_number 74
_space_group_name_Hall '-I 2b 2'
_cell_length_a 5.823
_cell_length_b 8.751
_cell_length_c 8.101
_cell_angle_alpha 90.00
_cell_angle_beta 90.00
_cell_angle_gamma 90.00
loop_
_atom_site_label
_atom_site_type_symbol
_atom_site_fract_x
_atom_site_fract_y
_atom_site_fract_z
_atom_site_occupancy
Ac1 Ac 0.000 0.000 0.000 1
Fe1 Fe 0.250 0.250 0.250 1
Si1 Si 0.000 0.250 0.606 1
O1 O 0.000 0.089 0.705 1
O2 O 0.235 0.250 0.481 1
# **DOS at the Fermi energy**: 1.88 states/eV per cell
# **Energy**: -7.391 eV/atom